# 1
Here is a relaxed CrGeOs crystal from Alexandria. Energies are from PBE-GGA.

Cell and atoms, written as POSCAR:
```
CrGeOs
1.0
-9.909 -1.999 -1.061
0.862 -2.902 -2.587
0.208 -2.640 3.031
Cr Ge Os
4 4 4
Direct
0.677 0.000 0.500
0.323 0.000 0.500
0.177 0.500 0.500
0.823 0.500 0.500
0.000 0.000 0.500
0.500 0.500 0.500
0.500 0.000 0.000
0.000 0.500 0.000
0.837 0.000 0.000
0.163 0.000 0.000
0.337 0.500 0.000
0.663 0.500 0.000
```

Calculated values
**N(E_F)**: 7.62 states/eV per cell
**Calculated volume**: 163 Å³/cell
**Space group**: Cmmm, No. 65
**Energy of formation**: 0.1213 eV/atom



# 2
Here is a relaxed LuHfCdPb crystal from Alexandria. Energies are from PBE-GGA.

Cell and atoms, written as POSCAR:
```
LuHfCdPb
1.0
5.136 0.000 0.000
2.568 4.448 0.000
2.568 1.483 4.193
Pb Lu Hf Cd
1 1 1 1
Direct
0.500 0.500 0.500
0.750 0.750 0.750
0.250 0.250 0.250
0.000 0.000 0.000
```

Calculated values
**N(E_F)**: 3.02 states/eV per cell
**Calculated volume**: 96 Å³/cell
**Space group**: F-43m, No. 216
**Energy of formation**: -0.0179 eV/atom



# 3
Here is a relaxed YOs2Au crystal from Alexandria. Energies are from PBE-GGA.

Cell and atoms, written as POSCAR:
```
YOs2Au
1.0
2.944 0.000 0.000
0.000 2.944 0.000
0.000 0.000 8.268
Au Os Y
1 2 1
Direct
0.500 0.500 0.770
0.000 0.000 0.026
0.500 0.500 0.216
0.000 0.000 0.489
```

Calculated values
**N(E_F)**: 3.15 states/eV per cell
**Calculated volume**: 72 Å³/cell
**Space group**: P4mm, No. 99
**Energy of formation**: 0.0964 eV/atom



# 4
Here is a relaxed TcTeH3 crystal from Alexandria. Energies are from PBE-GGA.

Cell and atoms, written as POSCAR:
```
TcTeH3
1.0
3.934 0.000 0.000
0.000 3.934 0.000
0.000 0.000 3.934
H Te Tc
3 1 1
Direct
0.000 0.500 0.000
0.000 0.000 0.500
0.500 0.000 0.000
0.000 0.000 0.000
0.500 0.500 0.500
```

Calculated values
**N(E_F)**: 4.62 states/eV per cell
**Calculated volume**: 61 Å³/cell
**Space group**: Pm-3m, No. 221
**Uncorrected energy**: -3.272 eV/atom



# 5
Here is a relaxed Th3NbPd12 crystal from Alexandria. Energies are from PBE-GGA.

Cell and atoms, written as POSCAR:
```
Th3NbPd12
1.0
4.186 0.000 0.000
0.000 4.186 0.000
0.000 0.000 16.497
Th Nb Pd
3 1 12
Direct
0.000 0.000 0.241
0.000 0.000 0.500
0.000 0.000 0.759
0.000 0.000 0.000
0.500 0.500 0.000
0.500 0.500 0.244
0.500 0.500 0.500
0.500 0.500 0.756
0.500 0.000 0.115
0.500 0.000 0.372
0.500 0.000 0.628
0.500 0.000 0.885
0.000 0.500 0.115
0.000 0.500 0.372
0.000 0.500 0.628
0.000 0.500 0.885
```

Calculated values
**N(E_F)**: 6.70 states/eV per cell
**Calculated volume**: 289 Å³/cell
**Space group**: P4/mmm, No. 123
**Energy of formation**: -0.7392 eV/atom